No. 1
PBE-GGA Pa2Co3C, relaxed; symmetry = No. 69; E = -51.31 eV/f.u.
1.0
0.0000 3.6848 6.7090
3.6271 0.0000 6.7090
3.6271 3.6848 0.0000
Pa Co C
4 6 2
Direct
0.2314 0.7686 0.7686
0.2500 0.2500 0.2500
0.7500 0.7500 0.7500
0.7686 0.2314 0.2314
0.1431 0.1431 0.8569
0.2308 0.5699 0.4301
0.4301 0.7692 0.2308
0.5699 0.2308 0.7692
0.7692 0.4301 0.5699
0.8569 0.8569 0.1431
0.2891 0.2891 0.7109
0.7109 0.7109 0.2891

No. 2
PBE-GGA PaCo2C, relaxed; symmetry = No. 63; E = -33.56 eV/f.u.; ΔE to the lowest computed polymorph = 0 meV per atom
1.0
1.8371 -7.7999 0.0000
1.8371 7.7999 0.0000
0.0000 0.0000 7.2787
Pa Co C
4 8 4
Direct
0.0000 0.0000 0.0000
0.0000 0.0000 0.5000
0.2279 0.7721 0.7500
0.7721 0.2279 0.2500
0.1562 0.8438 0.0865
0.1562 0.8438 0.4135
0.4131 0.5869 0.2500
0.4191 0.5809 0.7500
0.5809 0.4191 0.2500
0.5869 0.4131 0.7500
0.8438 0.1562 0.5865
0.8438 0.1562 0.9135
0.3631 0.6369 0.0035
0.3631 0.6369 0.4965
0.6369 0.3631 0.5035
0.6369 0.3631 0.9965

No. 3
PBE-GGA PaCoC, relaxed; symmetry = No. 11; E = -26.87 eV/f.u.; ΔE to the lowest computed polymorph = 0 meV per atom
1.0
3.5321 0.0000 0.0000
0.0000 5.1137 0.0000
-1.0509 0.0000 4.6967
Pa Co C
2 2 2
Direct
0.1746 0.2500 0.2810
0.8254 0.7500 0.7190
0.3729 0.2500 0.8473
0.6271 0.7500 0.1527
0.1791 0.7500 0.3292
0.8209 0.2500 0.6708

no.,DFT formation energy (meV per atom)
1,-296
2,-157
3,-350